VASP calculation (GGA-PBE) on a relaxed RbTlFe2 crystal.

Cell and atoms, written as CIF:
```
data_RbTlFe2
_chemical_formula_sum 'Rb4 Tl4 Fe8'
_cell_length_a 7.162
_cell_length_b 7.162
_cell_length_c 7.162
_cell_angle_alpha 90.00
_cell_angle_beta 90.00
_cell_angle_gamma 90.00
_symmetry_space_group_name_H-M 'F m -3 m'
_symmetry_Int_Tables_number 225
_symmetry_space_group_name_Hall '-F 4 2 3'
loop_
_atom_site_label
_atom_site_type_symbol
_atom_site_fract_x
_atom_site_fract_y
_atom_site_fract_z
Rb1 Rb 0.000 0.000 0.000
Tl1 Tl 0.000 0.000 0.500
Fe1 Fe 0.250 0.250 0.250
```

## Properties
Energy relative to the elements ... 1.2623 eV per atom
Relative energy among the computed polymorphs ... 329 meV/atom
Total magnetic moment ... 5.9 μB per formula unit

VASP calculation (GGA-PBE) on a relaxed La4PIrSe2 crystal.

Cell and atoms, written as CIF:
```
data_La4PIrSe2
_chemical_formula_sum 'La4 P1 Ir1 Se2'
_cell_length_a 7.427
_cell_length_b 4.244
_cell_length_c 7.535
_cell_angle_alpha 90.00
_cell_angle_beta 108.02
_cell_angle_gamma 90.00
_symmetry_space_group_name_H-M 'P 1 2/m 1'
_symmetry_Int_Tables_number 10
_symmetry_space_group_name_Hall '-P 2y'
loop_
_atom_site_label
_atom_site_type_symbol
_atom_site_fract_x
_atom_site_fract_y
_atom_site_fract_z
La1 La 0.242 0.000 0.231
La2 La 0.248 0.500 0.773
P1 P 0.500 0.000 0.000
Ir1 Ir 0.000 0.500 0.000
Se1 Se 0.000 0.000 0.500
Se2 Se 0.500 0.500 0.500
```

## Properties
Formation energy without anion corrections ... -1217 kJ/mol of formula units
Total magnetic moment ... 0.0 μB per formula unit

VASP calculation (GGA-PBE) on a relaxed TcRh2Cl crystal.

Cell and atoms, written as CIF:
```
data_TcRh2Cl
_chemical_formula_sum 'Tc4 Rh8 Cl4'
_cell_length_a 6.095
_cell_length_b 6.095
_cell_length_c 8.762
_cell_angle_alpha 90.00
_cell_angle_beta 90.00
_cell_angle_gamma 90.00
_symmetry_space_group_name_H-M 'I -4 2 d'
_symmetry_Int_Tables_number 122
_symmetry_space_group_name_Hall 'I -4 2bw'
loop_
_atom_site_label
_atom_site_type_symbol
_atom_site_fract_x
_atom_site_fract_y
_atom_site_fract_z
Tc1 Tc 0.000 0.000 0.000
Rh1 Rh 0.234 0.250 0.125
Cl1 Cl 0.000 0.000 0.500
```

## Properties
Formation energy without anion corrections ... 278 kJ/mol of formula units
Relative energy among the computed polymorphs ... 549 meV/atom
Total magnetic moment ... 0.0 μB per formula unit

VASP calculation (GGA-PBE) on a relaxed Pm2Th2As5 crystal.

Cell and atoms, written as CIF:
```
data_Pm2Th2As5
_chemical_formula_sum 'Pm8 Th8 As20'
_cell_length_a 14.806
_cell_length_b 7.900
_cell_length_c 7.936
_cell_angle_alpha 90.00
_cell_angle_beta 90.00
_cell_angle_gamma 90.00
_symmetry_space_group_name_H-M 'C m c e'
_symmetry_Int_Tables_number 64
_symmetry_space_group_name_Hall '-C 2ac 2'
loop_
_atom_site_label
_atom_site_type_symbol
_atom_site_fract_x
_atom_site_fract_y
_atom_site_fract_z
Pm1 Pm 0.000 0.156 0.159
Th1 Th 0.195 0.000 0.500
As1 As 0.000 0.000 0.500
As2 As 0.141 0.156 0.847
```

## Properties
Energy relative to the elements ... -1.2468 eV per atom
Total magnetic moment ... 0.0 μB per formula unit

VASP calculation (GGA-PBE) on a relaxed KMnCdSn2 crystal.

Cell and atoms, written as CIF:
```
data_KMnCdSn2
_chemical_formula_sum 'K1 Mn1 Cd1 Sn2'
_cell_length_a 4.981
_cell_length_b 4.981
_cell_length_c 5.338
_cell_angle_alpha 90.00
_cell_angle_beta 90.00
_cell_angle_gamma 90.00
_symmetry_space_group_name_H-M 'P 4/m m m'
_symmetry_Int_Tables_number 123
_symmetry_space_group_name_Hall '-P 4 2'
loop_
_atom_site_label
_atom_site_type_symbol
_atom_site_fract_x
_atom_site_fract_y
_atom_site_fract_z
K1 K 0.000 0.000 0.000
Mn1 Mn 0.500 0.500 0.500
Cd1 Cd 0.500 0.500 0.000
Sn1 Sn 0.000 0.500 0.500
```

## Properties
Energy relative to the elements ... 0.0371 eV per atom
Total magnetic moment ... 0.1 μB per formula unit

VASP calculation (GGA-PBE) on a relaxed Ba4PSeCl2 crystal.

Cell and atoms, written as CIF:
```
data_Ba4PSeCl2
_chemical_formula_sum 'Ba4 P1 Se1 Cl2'
_cell_length_a 7.995
_cell_length_b 4.662
_cell_length_c 8.090
_cell_angle_alpha 90.00
_cell_angle_beta 109.61
_cell_angle_gamma 90.00
_symmetry_space_group_name_H-M 'P 1 2/m 1'
_symmetry_Int_Tables_number 10
_symmetry_space_group_name_Hall '-P 2y'
loop_
_atom_site_label
_atom_site_type_symbol
_atom_site_fract_x
_atom_site_fract_y
_atom_site_fract_z
Ba1 Ba 0.231 0.000 0.235
Ba2 Ba 0.233 0.500 0.754
P1 P 0.000 0.500 0.000
Se1 Se 0.000 0.000 0.500
Cl1 Cl 0.500 0.000 0.000
Cl2 Cl 0.500 0.500 0.500
```

## Properties
Formation energy without anion corrections ... -1403 kJ/mol of formula units
Total magnetic moment ... 0.0 μB per formula unit

VASP calculation (GGA-PBE) on a relaxed Ca3TaO6 crystal.

Cell and atoms, written as CIF:
```
data_Ca3TaO6
_chemical_formula_sum 'Ca6 Ta2 O12'
_cell_length_a 5.7946
_cell_length_b 5.7946
_cell_length_c 9.9868
_cell_angle_alpha 90.00
_cell_angle_beta 90.00
_cell_angle_gamma 120.00
_symmetry_space_group_name_H-M 'P 63 2 2'
_symmetry_Int_Tables_number 182
_symmetry_space_group_name_Hall 'P 6c 2c'
loop_
_atom_site_label
_atom_site_type_symbol
_atom_site_fract_x
_atom_site_fract_y
_atom_site_fract_z
Ca1 Ca 0.0000 0.0000 0.0000
Ca2 Ca 0.3333 0.6667 0.0661
Ta1 Ta 0.3333 0.6667 0.7500
O1 O 0.0713 0.3782 0.6283
```

## Properties
Formation energy without anion corrections ... -2584 kJ/mol of formula units
Total magnetic moment ... 1.0 μB per formula unit

VASP calculation (GGA-PBE) on a relaxed LiTa4SnN8 crystal.

Cell and atoms, written as CIF:
```
data_LiTa4SnN8
_chemical_formula_sum 'Li3 Ta12 Sn3 N24'
_cell_length_a 6.2444
_cell_length_b 6.2444
_cell_length_c 15.3518
_cell_angle_alpha 90.00
_cell_angle_beta 90.00
_cell_angle_gamma 120.00
_symmetry_space_group_name_H-M 'R 3 m'
_symmetry_Int_Tables_number 160
_symmetry_space_group_name_Hall 'R 3 -2"'
loop_
_atom_site_label
_atom_site_type_symbol
_atom_site_fract_x
_atom_site_fract_y
_atom_site_fract_z
Li1 Li 0.0000 0.0000 0.0000
Ta1 Ta 0.0000 0.0000 0.3797
Ta2 Ta 0.0049 0.5025 0.5023
Sn1 Sn 0.0000 0.0000 0.6213
N1 N 0.0000 0.0000 0.2459
N2 N 0.0000 0.0000 0.7591
N3 N 0.0044 0.5022 0.7585
N4 N 0.1793 0.3586 0.5744
```

## Properties
Formation energy without anion corrections ... -999 kJ/mol of formula units
Total magnetic moment ... 0.0 μB per formula unit